(i)
VASP calculation (GGA-PBEsol) on a geometry-optimized CdHgOs2 structure.

The space group is I4/mmm (No. 139) and the conventional cell measures 3.890, 3.890 and 8.754 Å, with angles of 90.00, 90.00 and 90.00 degrees. The distinct sites, in fractional coordinates, are Cd at (0.000, 0.000, 0.000), Hg at (0.000, 0.000, 0.500) and Os at (0.000, 0.500, 0.250).

Its magnetic moment is 0.0 Bohr magnetons per cell.

(ii)
VASP calculation (GGA-PBEsol) on a geometry-optimized CdHgOs2 structure.

The space group is P4/mmm (No. 123) and the conventional cell measures 3.210, 3.210 and 6.364 Å, with angles of 90.00, 90.00 and 90.00 degrees. The distinct sites, in fractional coordinates, are Cd at (0.000, 0.000, 0.000), Hg at (0.000, 0.000, 0.500) and Os at (0.500, 0.500, 0.249).

Its magnetic moment is 1.8 Bohr magnetons per cell.

Which of them is the least stable? Correct choice: (ii).